CrIn: relaxed, PBE-GGA.

The structure in CIF format:
```
data_CrIn
_space_group_name_H-M_alt 'P 1'
_space_group_IT_number 1
_cell_length_a 6.3663
_cell_length_b 6.3663
_cell_length_c 6.3663
_cell_angle_alpha 90.00
_cell_angle_beta 90.00
_cell_angle_gamma 90.00
loop_
_space_group_symop_operation_xyz
'x,y,z'
loop_
_atom_site_label
_atom_site_type_symbol
_atom_site_fract_x
_atom_site_fract_y
_atom_site_fract_z
_atom_site_occupancy
Cr1 Cr 0.2500 0.2500 0.2500 1
Cr2 Cr 0.2500 0.7500 0.7500 1
Cr3 Cr 0.7500 0.2500 0.7500 1
Cr4 Cr 0.7500 0.7500 0.2500 1
In1 In 0.0000 0.0000 0.0000 1
In2 In 0.0000 0.5000 0.5000 1
In3 In 0.5000 0.0000 0.5000 1
In4 In 0.5000 0.5000 0.0000 1
```

Summary:
- VASP energy: -4.88 eV per atom
- Magnetization: 17.7 Bohr magnetons per cell
- Crystal system: cubic
- Density of states at the Fermi level: 6.1 states/eV per cell
- Formation energy from the elements: 1297 meV per atom